(1)
A geometry-optimized Na2BeAl2Au5 structure. Source: Alexandria via LeMat-Bulk, functional PBE.

Output
Its density of states at the Fermi level is 5.28 states/eV/cell. The formation energy comes out at -0.361 eV per atom. The density comes out at 10.01 g cm⁻³.

a b c (Å): 2.9046 11.1800 11.1800
angles (deg): 90.00 90.00 90.00
With the nearest neighbours (Å) after each atom.
Fractional positions:
Au: 0.5000 0.5669 0.6757  2 Be 2.55, 2 Al 2.66
Au: 0.5000 0.9331 0.1757  2 Be 2.55, 2 Al 2.66
Au: 0.5000 0.6757 0.4331  2 Be 2.55, 2 Al 2.66
Au: 0.5000 0.4331 0.3243  2 Be 2.55, 2 Al 2.66
Au: 0.5000 0.0000 0.5000  4 Al 2.63, 2 Au 2.90
Au: 0.5000 0.5000 0.0000  4 Al 2.63, 2 Au 2.90
Au: 0.5000 0.8243 0.9331  2 Be 2.55, 2 Al 2.66
Au: 0.5000 0.0669 0.8243  2 Be 2.55, 2 Al 2.66
Au: 0.5000 0.1757 0.0669  2 Be 2.55, 2 Al 2.66
Au: 0.5000 0.3243 0.5669  2 Be 2.55, 2 Al 2.66
Be: 0.0000 0.5000 0.5000  8 Au 2.55
Be: 0.0000 0.0000 0.0000  8 Au 2.55
Al: 0.0000 0.8610 0.3610  6 Au 2.63-2.66, 2 Al 2.90
Al: 0.0000 0.1390 0.6390  6 Au 2.63-2.66, 2 Al 2.90
Al: 0.0000 0.6390 0.8610  6 Au 2.63-2.66, 2 Al 2.90
Al: 0.0000 0.3610 0.1390  6 Au 2.63-2.66, 2 Al 2.90
Na: 0.0000 0.1698 0.3302  2 Na 2.90, 1 Al 3.02, 2 Au 3.05
Na: 0.0000 0.8302 0.6698  2 Na 2.90, 1 Al 3.02, 2 Au 3.05
Na: 0.0000 0.3302 0.8302  2 Na 2.90, 1 Al 3.02, 2 Au 3.05
Na: 0.0000 0.6698 0.1698  2 Na 2.90, 1 Al 3.02, 2 Au 3.05

---

(2)
A geometry-optimized Na2BeAl3Au12 structure. Source: Alexandria via LeMat-Bulk, functional PBE.

Output
Its density of states at the Fermi level is 4.24 states/eV/cell. The formation energy comes out at -0.111 eV per atom. The density comes out at 11.15 g cm⁻³.

a b c (Å): 8.6824 8.6824 8.6824
angles (deg): 51.70 51.70 51.70
With the nearest neighbours (Å) after each atom.
Fractional positions:
Au: 0.0915 0.6577 0.0915  1 Be 2.24
Au: 0.6577 0.0915 0.0915  1 Be 2.24
Au: 0.5970 0.5970 0.1616  2 Al 2.58, 4 Au 2.88
Au: 0.5970 0.1616 0.5970  2 Al 2.58, 4 Au 2.88
Au: 0.9085 0.9085 0.3423  1 Be 2.24
Au: 0.3423 0.9085 0.9085  1 Be 2.24
Au: 0.4030 0.8384 0.4030  2 Al 2.58, 4 Au 2.88
Au: 0.1616 0.5970 0.5970  2 Al 2.58, 4 Au 2.88
Au: 0.0915 0.0915 0.6577  1 Be 2.24
Au: 0.4030 0.4030 0.8384  2 Al 2.58, 4 Au 2.88
Au: 0.8384 0.4030 0.4030  2 Al 2.58, 4 Au 2.88
Au: 0.9085 0.3423 0.9085  1 Be 2.24
Na: 0.3458 0.3458 0.3458  6 Au 2.88-3.05
Na: 0.6542 0.6542 0.6542  6 Au 2.88-3.05
Al: 0.5000 0.0000 0.0000  6 Au 2.57-2.58
Al: 0.0000 0.0000 0.5000  6 Au 2.57-2.58
Al: 0.0000 0.5000 0.0000  6 Au 2.57-2.58
Be: 0.0000 0.0000 0.0000  6 Au 2.24

---

Repeat the first record exactly.
A geometry-optimized Na2BeAl2Au5 structure. Source: Alexandria via LeMat-Bulk, functional PBE.

Output
Its density of states at the Fermi level is 5.28 states/eV/cell. The formation energy comes out at -0.361 eV per atom. The density comes out at 10.01 g cm⁻³.

a b c (Å): 2.9046 11.1800 11.1800
angles (deg): 90.00 90.00 90.00
With the nearest neighbours (Å) after each atom.
Fractional positions:
Au: 0.5000 0.5669 0.6757  2 Be 2.55, 2 Al 2.66
Au: 0.5000 0.9331 0.1757  2 Be 2.55, 2 Al 2.66
Au: 0.5000 0.6757 0.4331  2 Be 2.55, 2 Al 2.66
Au: 0.5000 0.4331 0.3243  2 Be 2.55, 2 Al 2.66
Au: 0.5000 0.0000 0.5000  4 Al 2.63, 2 Au 2.90
Au: 0.5000 0.5000 0.0000  4 Al 2.63, 2 Au 2.90
Au: 0.5000 0.8243 0.9331  2 Be 2.55, 2 Al 2.66
Au: 0.5000 0.0669 0.8243  2 Be 2.55, 2 Al 2.66
Au: 0.5000 0.1757 0.0669  2 Be 2.55, 2 Al 2.66
Au: 0.5000 0.3243 0.5669  2 Be 2.55, 2 Al 2.66
Be: 0.0000 0.5000 0.5000  8 Au 2.55
Be: 0.0000 0.0000 0.0000  8 Au 2.55
Al: 0.0000 0.8610 0.3610  6 Au 2.63-2.66, 2 Al 2.90
Al: 0.0000 0.1390 0.6390  6 Au 2.63-2.66, 2 Al 2.90
Al: 0.0000 0.6390 0.8610  6 Au 2.63-2.66, 2 Al 2.90
Al: 0.0000 0.3610 0.1390  6 Au 2.63-2.66, 2 Al 2.90
Na: 0.0000 0.1698 0.3302  2 Na 2.90, 1 Al 3.02, 2 Au 3.05
Na: 0.0000 0.8302 0.6698  2 Na 2.90, 1 Al 3.02, 2 Au 3.05
Na: 0.0000 0.3302 0.8302  2 Na 2.90, 1 Al 3.02, 2 Au 3.05
Na: 0.0000 0.6698 0.1698  2 Na 2.90, 1 Al 3.02, 2 Au 3.05